Here is crystalline BaSc2Be at its relaxed geometry from Alexandria. Energies are from PBE-GGA.

Output
calculated formation energy = 0.592 eV per atom

Cell: 3.7218 5.2165 5.3257 Å, 90.00 90.00 90.00°
With the nearest neighbours (Å) after each atom.
Space group Pmmm (No. 47)
Inequivalent atoms, fractional coordinates:
1 Ba 0.0000 0.0000 0.0000 [1 per cell]  4 Sc 3.20, 4 Be 3.25
2 Sc 0.0000 0.5000 0.5000 [1 per cell]  4 Be 3.20, 4 Sc 3.25
3 Sc 0.5000 0.5000 0.0000 [1 per cell]  4 Ba 3.20, 4 Sc 3.25
4 Be 0.5000 0.0000 0.5000 [1 per cell]  4 Sc 3.20, 4 Ba 3.25